[1]
Dy2ErRh3: optimized geometry, GGA-PBE.

Cell and atoms, written as extended XYZ:
```
12
Lattice="4.833 0.000 0.000 -2.416 4.185 0.000 0.000 0.000 11.802" Properties=species:S:1:pos:R:3 pbc="T T T"
Dy 0.000 0.000 0.000
Dy 0.000 0.000 5.901
Dy 0.000 2.790 1.978
Dy 2.416 1.395 9.824
Er 0.000 2.790 7.861
Er 2.416 1.395 3.941
Rh 0.000 0.000 2.964
Rh 0.000 0.000 8.838
Rh 0.000 2.790 4.919
Rh 0.000 2.790 10.806
Rh 2.416 1.395 0.996
Rh 2.416 1.395 6.883
```

Computed properties:
The value obtained for the formation energy is -520 kJ/mol of formula units. Its space group is P-3m1.

***

[2]
Sr4U3ZnAs8: optimized geometry, GGA-PBE.

Cell and atoms, written as extended XYZ:
```
16
Lattice="4.224 2.439 7.079 -4.224 2.439 7.079 0.000 -4.877 7.079" Properties=species:S:1:pos:R:3 pbc="T T T"
Sr 0.000 0.000 0.000
Sr -2.112 -1.219 7.079
Sr -2.112 1.219 14.159
Sr 0.000 2.439 7.079
U -4.224 0.000 10.619
U -2.112 1.219 3.540
U 2.112 1.219 3.540
Zn 0.000 0.000 10.619
As -2.133 -1.231 12.115
As 0.000 0.000 5.071
As 0.000 -2.463 9.123
As -2.133 1.231 9.123
As 2.133 -1.231 12.115
As 0.000 2.463 12.115
As 0.000 0.000 16.167
As 2.133 1.231 9.123
```

Computed properties:
The value obtained for the formation energy is -1235 kJ/mol of formula units. Its space group is R-3m.

***

[3]
AcSn2PtO8: optimized geometry, GGA-PBE.

Cell and atoms, written as extended XYZ:
```
12
Lattice="4.942 0.000 0.000 0.000 6.778 0.000 -0.169 0.000 4.954" Properties=species:S:1:pos:R:3 pbc="T T T"
Ac 0.000 0.000 0.000
Sn 2.386 1.754 2.477
Sn 2.386 5.025 2.477
Pt 0.000 3.389 0.000
O 1.135 1.966 0.851
O 1.135 4.812 0.851
O 1.203 3.389 3.379
O 1.344 0.000 3.105
O 3.428 0.000 1.849
O 3.570 3.389 1.575
O 3.638 1.966 4.104
O 3.638 4.812 4.104
```

Computed properties:
As for the energy relative to the elements, uncorrected: -1487 meV/atom. Its space group is P2/m.

***

For each record above, in turn, the calculated mass density values are 11.1, 6.6, 7.9 g/cm³.